Run w
Pm2HPb after structural relaxation, computed with GGA-PBE.

Values from the calculation:
V ... 24.1 Å³/atom
Total moment ... 0.0 μB per formula unit

abc: 4.6586 4.6586 8.8841
angles: 90.01 90.01 90.00
Closest atoms and distances in Å follow each position.
Fractional coordinates of all 8 atoms:
H  0.7500  0.7500  0.5823  5 Pm 2.39-2.44
Pm  0.7501  0.7501  0.8509  1 H 2.39
Pb  0.2501  0.2501  0.7826  1 H 3.24, 9 Pm 3.26-3.42
Pb  0.7499  0.7499  0.2174  1 H 3.24, 9 Pm 3.26-3.42
Pm  0.2499  0.2499  0.1491  1 H 2.39
H  0.2500  0.2500  0.4177  5 Pm 2.39-2.44
Pm  0.7500  0.2500  0.5000  4 H 2.44
Pm  0.2500  0.7500  0.5000  4 H 2.44

Run x
Pm2HPb after structural relaxation, computed with GGA-PBE.

Values from the calculation:
V ... 23.5 Å³/atom
Total moment ... 0.0 μB per formula unit

abc: 3.4542 3.4542 7.8701
angles: 90.00 90.00 90.00
Closest atoms and distances in Å follow each position.
Fractional coordinates of all 4 atoms:
Pm  0.0000  0.0000  0.7883  4 H 2.96
Pm  0.0000  0.0000  0.2117  4 H 2.96
Pb  0.5000  0.5000  0.5000  8 Pm 3.33, 4 Pb 3.45
H  0.5000  0.5000  0.0000  8 Pm 2.96

Winner for stability: run w

Run w
Pm2HPb after structural relaxation, computed with GGA-PBE.

Values from the calculation:
V ... 25.8 Å³/atom
Total moment ... 0.0 μB per formula unit

abc: 3.7351 8.3140 6.6420
angles: 90.00 90.00 90.00
Closest atoms and distances in Å follow each position.
Fractional coordinates of all 8 atoms:
Pm  0.0000  0.0400  0.2839  3 H 2.30-2.33
Pm  0.0000  0.6329  0.5201  1 H 2.33
H  0.5000  0.0932  0.0925  4 Pm 2.30-2.33
H  0.0000  0.9068  0.5925  4 Pm 2.30-2.33
Pm  0.5000  0.9600  0.7839  3 H 2.30-2.33
Pb  0.0000  0.6938  0.0263  7 Pm 3.30-3.40, 1 H 3.38
Pm  0.5000  0.3671  0.0201  1 H 2.33
Pb  0.5000  0.3062  0.5263  7 Pm 3.30-3.40, 1 H 3.38

Run x
Pm2HPb after structural relaxation, computed with GGA-PBE.

Values from the calculation:
V ... 25.8 Å³/atom
Total moment ... 0.6 μB per formula unit

abc: 4.3648 4.3648 6.7396
angles: 71.11 71.11 60.00
Closest atoms and distances in Å follow each position.
Fractional coordinates of all 4 atoms:
H  0.5000  0.5000  0.5000  6 Pm 2.84
Pb  0.0000  0.0000  0.0000  6 Pm 3.11
Pm  0.2364  0.2364  0.2907  3 H 2.84, 3 Pb 3.11
Pm  0.7636  0.7636  0.7093  3 H 2.84, 3 Pb 3.11

Winner for stability: run w

Run w
PrHPb after structural relaxation, computed with GGA-PBE.

Values from the calculation:
V ... 23.9 Å³/atom
Total moment ... 0.0 μB per formula unit

abc: 3.8147 3.8122 12.0158
angles: 98.96 80.87 59.98
Closest atoms and distances in Å follow each position.
Fractional coordinates of all 6 atoms:
Pr  0.8038  0.0297  0.3627  4 H 2.33-2.36
Pb  0.6356  0.8612  0.8676  1 Pb 3.02
H  0.5973  0.2361  0.5694  4 Pr 2.33-2.36
Pr  0.1962  0.9703  0.6373  4 H 2.33-2.36
H  0.4027  0.7639  0.4306  4 Pr 2.33-2.36
Pb  0.3644  0.1388  0.1324  1 Pb 3.02

Run x
PrHPb after structural relaxation, computed with GGA-PBE.

Values from the calculation:
V ... 23.6 Å³/atom
Total moment ... 0.0 μB per formula unit

abc: 9.1915 9.1915 6.3376
angles: 65.24 65.24 66.49
Closest atoms and distances in Å follow each position.
Fractional coordinates of all 18 atoms:
H  0.0782  0.9218  0.7500  1 Pb 1.94
Pr  0.5768  0.4232  0.7500  4 H 2.26-2.36
H  0.6396  0.3673  0.4023  1 H 1.99
Pr  0.6513  0.1003  0.3990  3 H 2.22-2.42
H  0.3604  0.6327  0.5977  1 H 1.99
Pb  0.8855  0.1145  0.7500  1 H 1.94
H  0.6327  0.3604  0.0977  1 H 1.99
Pr  0.3487  0.8997  0.6010  3 H 2.22-2.42
Pr  0.8997  0.3487  0.1010  3 H 2.22-2.42
Pb  0.8011  0.6796  0.6425  4 Pr 3.33-3.62, 3 Pb 3.40-3.53, 2 H 3.48-3.73
Pb  0.6796  0.8011  0.1425  4 Pr 3.33-3.62, 3 Pb 3.40-3.53, 2 H 3.48-3.73
Pr  0.1003  0.6513  0.8990  3 H 2.22-2.42
Pr  0.4232  0.5768  0.2500  4 H 2.26-2.36
Pb  0.1989  0.3204  0.3575  4 Pr 3.33-3.62, 3 Pb 3.40-3.53, 2 H 3.48-3.73
Pb  0.1145  0.8855  0.2500  1 H 1.94
H  0.9218  0.0782  0.2500  1 Pb 1.94
H  0.3673  0.6396  0.9023  1 H 1.99
Pb  0.3204  0.1989  0.8575  4 Pr 3.33-3.62, 3 Pb 3.40-3.53, 2 H 3.48-3.73

Winner for stability: run w

Run w
PrHPb after structural relaxation, computed with GGA-PBE.

Values from the calculation:
V ... 23.0 Å³/atom
Total moment ... 0.0 μB per formula unit

abc: 5.3295 3.8650 3.8650
angles: 120.00 90.00 90.00
Closest atoms and distances in Å follow each position.
Fractional coordinates of all 3 atoms:
Pb  0.6663  0.6667  0.3333  6 H 3.47-3.48, 6 Pr 3.48, 6 Pb 3.86
Pr  0.1664  0.0000  0.0000  3 H 2.23
H  0.1673  0.3333  0.6667  3 Pr 2.23

Run x
PrHPb after structural relaxation, computed with GGA-PBE.

Values from the calculation:
V ... 22.9 Å³/atom
Total moment ... 0.0 μB per formula unit

abc: 3.3704 3.3704 6.4911
angles: 105.05 105.05 90.00
Closest atoms and distances in Å follow each position.
Fractional coordinates of all 3 atoms:
Pb  0.0065  0.0065  0.0129  1 H 3.15, 4 Pb 3.37, 1 Pr 3.39
H  0.2676  0.2676  0.5351  4 Pr 2.44
Pr  0.7260  0.7260  0.4519  4 H 2.44

Winner for stability: run w

Run w
H2Pt2Pb after structural relaxation, computed with GGA-PBE.

Values from the calculation:
V ... 13.1 Å³/atom
Total moment ... 0.0 μB per formula unit

abc: 3.6879 3.6879 5.4739
angles: 70.31 70.31 90.00
Closest atoms and distances in Å follow each position.
Fractional coordinates of all 5 atoms:
Pb  0.0000  0.0000  0.0000  8 H 3.03, 10 Pt 3.10-3.14
H  0.2500  0.7500  0.5000  4 Pt 1.98
H  0.7500  0.2500  0.5000  4 Pt 1.98
Pt  0.6739  0.6739  0.6522  4 H 1.98
Pt  0.3261  0.3261  0.3478  4 H 1.98

Run x
H2Pt2Pb after structural relaxation, computed with GGA-PBE.

Values from the calculation:
V ... 13.7 Å³/atom
Total moment ... 0.0 μB per formula unit

abc: 6.6733 5.7817 5.6633
angles: 82.68 53.70 55.36
Closest atoms and distances in Å follow each position.
Fractional coordinates of all 10 atoms:
H  0.2192  0.1579  0.1952  2 Pt 1.75-1.87
H  0.4215  0.6530  0.7029  2 Pt 1.75-1.88
Pb  0.0771  0.2464  0.7465  4 H 2.67-2.77
Pt  0.2033  0.6884  0.5501  2 H 1.75-1.87
Pt  0.4400  0.8063  0.9570  2 H 1.75-1.88
H  0.7808  0.8421  0.8048  2 Pt 1.75-1.87
Pt  0.7967  0.3116  0.4499  2 H 1.75-1.87
H  0.5785  0.3470  0.2971  2 Pt 1.75-1.88
Pt  0.5600  0.1937  0.0430  2 H 1.75-1.88
Pb  0.9229  0.7536  0.2535  4 H 2.67-2.77

Run y
H2Pt2Pb after structural relaxation, computed with GGA-PBE.

Values from the calculation:
V ... 13.8 Å³/atom
Total moment ... 0.0 μB per formula unit

abc: 6.8627 6.8627 2.9402
angles: 90.00 90.00 90.00
Closest atoms and distances in Å follow each position.
Fractional coordinates of all 10 atoms:
Pt  0.6420  0.8580  0.5000  4 H 2.09
Pt  0.8580  0.3580  0.5000  4 H 2.09
H  0.4432  0.9432  0.0000  1 H 1.10
Pt  0.3580  0.1420  0.5000  4 H 2.09
Pb  0.0000  0.0000  0.0000  2 Pb 2.94, 8 Pt 3.02, 4 H 3.07
H  0.5568  0.0568  0.0000  1 H 1.10
Pt  0.1420  0.6420  0.5000  4 H 2.09
H  0.9432  0.5568  0.0000  1 H 1.10
H  0.0568  0.4432  0.0000  1 H 1.10
Pb  0.5000  0.5000  0.0000  2 Pb 2.94, 8 Pt 3.02, 4 H 3.07

Run z
H2Pt2Pb after structural relaxation, computed with GGA-PBE.

Values from the calculation:
V ... 15.9 Å³/atom
Total moment ... 0.0 μB per formula unit

abc: 7.2422 7.2422 3.0263
angles: 90.00 90.00 90.00
Closest atoms and distances in Å follow each position.
Fractional coordinates of all 10 atoms:
H  0.2921  0.7921  0.5000  2 Pt 1.71
Pb  0.0000  0.0000  0.0000  4 Pt 2.84, 8 H 3.01, 2 Pb 3.03
Pt  0.6299  0.1299  0.0000  2 H 1.71
Pt  0.1299  0.3701  0.0000  2 H 1.71
Pb  0.5000  0.5000  0.0000  4 Pt 2.84, 8 H 3.01, 2 Pb 3.03
Pt  0.3701  0.8701  0.0000  2 H 1.71
H  0.2079  0.2921  0.5000  2 Pt 1.71
Pt  0.8701  0.6299  0.0000  2 H 1.71
H  0.7921  0.7079  0.5000  2 Pt 1.71
H  0.7079  0.2079  0.5000  2 Pt 1.71

Winner for stability: run x

Run w
RbHPb3 after structural relaxation, computed with GGA-PBE.

Values from the calculation:
V ... 52.4 Å³/atom
Total moment ... 0.8 μB per formula unit

abc: 6.3992 6.3992 6.3992
angles: 90.00 90.00 90.00
Closest atoms and distances in Å follow each position.
Fractional coordinates of all 5 atoms:
Pb  0.5000  0.0000  0.0000  2 Rb 3.20
H  0.5000  0.5000  0.5000  12 Pb 4.52
Pb  0.0000  0.5000  0.0000  2 Rb 3.20
Rb  0.0000  0.0000  0.0000  6 Pb 3.20
Pb  0.0000  0.0000  0.5000  2 Rb 3.20

Run x
RbHPb3 after structural relaxation, computed with GGA-PBE.

Values from the calculation:
V ... 28.3 Å³/atom
Total moment ... 0.0 μB per formula unit

abc: 5.2115 5.2115 5.2115
angles: 90.00 90.00 90.00
Closest atoms and distances in Å follow each position.
Fractional coordinates of all 5 atoms:
Pb  0.0000  0.5000  0.0000  2 H 2.61
Rb  0.5000  0.5000  0.5000  12 Pb 3.69
H  0.0000  0.0000  0.0000  6 Pb 2.61
Pb  0.5000  0.0000  0.0000  2 H 2.61
Pb  0.0000  0.0000  0.5000  2 H 2.61

Winner for stability: run x

Run w
ReH2Pb after structural relaxation, computed with GGA-PBE.

Values from the calculation:
V ... 12.2 Å³/atom
Total moment ... 0.9 μB per formula unit

abc: 5.9379 5.9379 5.0332
angles: 53.85 53.85 90.00
Closest atoms and distances in Å follow each position.
Fractional coordinates of all 8 atoms:
Re  0.2500  0.7500  0.5000  4 H 1.82
H  0.8750  0.7596  0.7500  2 Re 1.82
Pb  0.7500  0.2500  0.5000  8 H 2.68-2.72, 2 Re 2.78
H  0.2404  0.6250  0.2500  2 Re 1.82
H  0.3750  0.4904  0.7500  2 Re 1.82
H  0.5096  0.1250  0.2500  2 Re 1.82
Re  0.5000  0.5000  0.0000  4 H 1.82
Pb  0.0000  0.0000  0.0000  8 H 2.68-2.72, 2 Re 2.78

Run x
ReH2Pb after structural relaxation, computed with GGA-PBE.

Values from the calculation:
V ... 12.0 Å³/atom
Total moment ... 0.4 μB per formula unit

abc: 4.0800 4.0800 4.0800
angles: 60.00 60.00 60.00
Closest atoms and distances in Å follow each position.
Fractional coordinates of all 4 atoms:
H  0.7500  0.7500  0.7500  4 Re 2.50, 4 Pb 2.50
H  0.2500  0.2500  0.2500  4 Pb 2.50, 4 Re 2.50
Pb  0.5000  0.5000  0.5000  8 H 2.50
Re  0.0000  0.0000  0.0000  8 H 2.50

Winner for stability: run w

Run w
HRh3Pb after structural relaxation, computed with GGA-PBE.

Values from the calculation:
V ... 18.3 Å³/atom
Total moment ... 0.0 μB per formula unit

abc: 7.3064 7.3064 5.0057
angles: 90.00 90.00 136.76
Closest atoms and distances in Å follow each position.
Fractional coordinates of all 10 atoms:
Rh  0.3907  0.1167  0.7500  1 H 1.72
Rh  0.1167  0.3907  0.2500  1 H 1.72
Rh  0.0000  0.0000  0.5000  6 Rh 2.50-2.63, 2 Pb 2.80
H  0.4435  0.5565  0.2500  2 Rh 1.72
Rh  0.8833  0.6093  0.7500  1 H 1.72
Pb  0.8158  0.1842  0.7500  8 Rh 2.77-2.92
H  0.5565  0.4435  0.7500  2 Rh 1.72
Rh  0.0000  0.0000  0.0000  6 Rh 2.50-2.63, 2 Pb 2.80
Pb  0.1842  0.8158  0.2500  8 Rh 2.77-2.92
Rh  0.6093  0.8833  0.2500  1 H 1.72

Run x
HRh3Pb after structural relaxation, computed with GGA-PBE.

Values from the calculation:
V ... 14.6 Å³/atom
Total moment ... 0.0 μB per formula unit

abc: 5.3275 5.3275 5.7060
angles: 90.00 90.00 115.82
Closest atoms and distances in Å follow each position.
Fractional coordinates of all 10 atoms:
Rh  0.0000  0.0000  0.0000  2 H 1.84
Rh  0.5008  0.0361  0.2500  1 H 1.79
H  0.8719  0.1281  0.7500  4 Rh 1.79-1.84
H  0.1281  0.8719  0.2500  4 Rh 1.79-1.84
Pb  0.4679  0.5321  0.2500  4 Rh 2.61-2.72, 2 Pb 2.91
Rh  0.0000  0.0000  0.5000  2 H 1.84
Rh  0.4992  0.9639  0.7500  1 H 1.79
Rh  0.9639  0.4992  0.2500  1 H 1.79
Pb  0.5321  0.4679  0.7500  4 Rh 2.61-2.72, 2 Pb 2.91
Rh  0.0361  0.5008  0.7500  1 H 1.79

Run y
HRh3Pb after structural relaxation, computed with GGA-PBE.

Values from the calculation:
V ... 13.7 Å³/atom
Total moment ... 0.0 μB per formula unit

abc: 4.9047 5.7654 5.7868
angles: 120.12 90.00 102.87
Closest atoms and distances in Å follow each position.
Fractional coordinates of all 10 atoms:
Rh  0.9657  0.8539  0.4465  1 H 1.82
H  0.0985  0.7113  0.6292  4 Rh 1.79-1.82
Rh  0.9656  0.8539  0.9544  1 H 1.82
Rh  0.9540  0.3425  0.4447  1 H 1.79
Rh  0.4445  0.3677  0.7054  1 H 1.85
Rh  0.4702  0.8733  0.7101  2 H 1.79-1.84
H  0.6239  0.5734  0.5603  3 Rh 1.84-1.85
Pb  0.4754  0.8863  0.2167  11 Rh 2.82-2.94
Rh  0.4445  0.3677  0.2093  1 H 1.85
Pb  0.9344  0.3342  0.9406  11 Rh 2.79-2.93

Run z
HRh3Pb after structural relaxation, computed with GGA-PBE.

Values from the calculation:
V ... 14.6 Å³/atom
Total moment ... 0.0 μB per formula unit

abc: 7.3387 7.3387 7.3387
angles: 39.78 39.78 39.78
Closest atoms and distances in Å follow each position.
Fractional coordinates of all 10 atoms:
H  0.9251  0.9251  0.9251  3 Rh 1.83
Pb  0.6664  0.6664  0.6664  6 Rh 2.82, 3 Pb 2.88
Pb  0.3336  0.3336  0.3336  6 Rh 2.82, 3 Pb 2.88
Rh  0.7789  0.4467  0.1115  1 H 1.83
Rh  0.5533  0.8885  0.2211  1 H 1.83
Rh  0.8885  0.2211  0.5533  1 H 1.83
Rh  0.4467  0.1115  0.7789  1 H 1.83
Rh  0.2211  0.5533  0.8885  1 H 1.83
H  0.0749  0.0749  0.0749  3 Rh 1.83
Rh  0.1115  0.7789  0.4467  1 H 1.83

Winner for stability: run y

Run w
HRh3Pb after structural relaxation, computed with GGA-PBE.

Values from the calculation:
V ... 14.3 Å³/atom
Total moment ... 0.0 μB per formula unit

abc: 4.5703 4.5703 7.8977
angles: 90.00 90.00 120.00
Closest atoms and distances in Å follow each position.
Fractional coordinates of all 10 atoms:
Rh  0.6667  0.3333  0.9178  1 Pb 2.62, 1 Rh 2.65, 3 H 2.72
Pb  0.6667  0.3333  0.2500  5 Rh 2.62-2.64
Rh  0.0000  0.0000  0.7500  2 H 1.97
H  0.0000  0.0000  0.5000  2 Rh 1.97
Rh  0.3333  0.6667  0.4178  1 Pb 2.62, 1 Rh 2.65, 3 H 2.72
Pb  0.3333  0.6667  0.7500  5 Rh 2.62-2.64
Rh  0.6667  0.3333  0.5822  1 Pb 2.62, 1 Rh 2.65, 3 H 2.72
Rh  0.0000  0.0000  0.2500  2 H 1.97
Rh  0.3333  0.6667  0.0822  1 Pb 2.62, 1 Rh 2.65, 3 H 2.72
H  0.0000  0.0000  0.0000  2 Rh 1.97

Run x
HRh3Pb after structural relaxation, computed with GGA-PBE.

Values from the calculation:
V ... 13.6 Å³/atom
Total moment ... 0.0 μB per formula unit

abc: 5.7803 4.9453 5.7803
angles: 105.20 59.71 105.19
Closest atoms and distances in Å follow each position.
Fractional coordinates of all 10 atoms:
Rh  0.7403  0.8694  0.9532  1 H 1.74
Rh  0.4934  0.3781  0.7064  1 H 1.91
Rh  0.2582  0.8579  0.9566  1 H 1.87
Rh  0.4938  0.3810  0.2014  1 H 1.93
Pb  0.2606  0.8976  0.4734  11 Rh 2.78-2.95
H  0.6254  0.1678  0.8384  4 Rh 1.91-2.13
H  0.8843  0.7410  0.0968  3 Rh 1.74-1.87
Rh  0.9884  0.3809  0.7068  1 H 1.93
Pb  0.9859  0.3384  0.1989  1 H 2.50
Rh  0.7438  0.8577  0.4710  1 H 1.87

Run y
HRh3Pb after structural relaxation, computed with GGA-PBE.

Values from the calculation:
V ... 25.7 Å³/atom
Total moment ... 2.0 μB per formula unit

abc: 5.0479 5.0479 5.0479
angles: 90.00 90.00 90.00
Closest atoms and distances in Å follow each position.
Fractional coordinates of all 5 atoms:
H  0.5000  0.5000  0.5000  12 Rh 3.57
Rh  0.0000  0.0000  0.5000  2 Pb 2.52
Rh  0.0000  0.5000  0.0000  2 Pb 2.52
Pb  0.0000  0.0000  0.0000  6 Rh 2.52
Rh  0.5000  0.0000  0.0000  2 Pb 2.52

Winner for stability: run x